Record 1
First-principles (PBE) data for a relaxed structure of VGaRe, as listed in Alexandria via LeMat-Bulk.

Unit cell a=4.3714 b=5.1317 c=7.3381 alpha=137.63 beta=90.00 gamma=115.21
Atoms (fractional coordinates):
Ga 0.4151 0.8302 0.5843
Ga 0.5849 0.1698 0.4157
Re 0.2507 0.5014 0.7672
Re 0.7493 0.4986 0.2328
V 0.9160 0.8320 0.0779
V 0.0840 0.1680 0.9221

Values from the calculation:
Fermi-level density of states = 0.712 states/eV per atom
E_form = -139 meV per atom
crystal system = monoclinic


Record 2
First-principles (PBE) data for a relaxed structure of BaSi2Cl, as listed in Alexandria via LeMat-Bulk.

Unit cell a=5.2224 b=5.2224 c=5.2224 alpha=60.00 beta=60.00 gamma=60.00
Atoms (fractional coordinates):
Si 0.2500 0.2500 0.2500
Si 0.0000 0.0000 0.0000
Cl 0.7500 0.7500 0.7500
Ba 0.5000 0.5000 0.5000

Values from the calculation:
raw formation energy = -0.174 eV per atom
Fermi-level density of states = 0.505 states/eV per atom
crystal system = cubic


Record 3
First-principles (PBE) data for a relaxed structure of SrLiAl2B2O7, as listed in Alexandria via LeMat-Bulk.

Unit cell a=4.8875 b=4.9233 c=8.5938 alpha=87.23 beta=105.77 gamma=119.67
Atoms (fractional coordinates):
Sr 0.9897 0.9973 0.9897
O 0.4822 0.0152 0.2385
O 0.4994 0.5302 0.8009
O 0.3252 0.9814 0.8141
O 0.0821 0.6248 0.4968
O 0.8584 0.3384 0.7888
O 0.1261 0.4550 0.1936
O 0.6986 0.6751 0.2093
B 0.5512 0.2816 0.7876
B 0.4408 0.7137 0.2177
Li 0.2342 0.0205 0.4120
Al 0.1757 0.6082 0.7046
Al 0.8413 0.4071 0.3073

Values from the calculation:
raw formation energy = -2.558 eV per atom
Fermi-level density of states = 0.116 states/eV per atom
crystal system = triclinic


Record 4
First-principles (PBE) data for a relaxed structure of NaPaIn2I8, as listed in Alexandria via LeMat-Bulk.

Unit cell a=8.0225 b=7.5436 c=9.6000 alpha=89.92 beta=90.03 gamma=91.83
Atoms (fractional coordinates):
In 0.5008 0.5002 0.2665
In 0.4992 0.4998 0.7335
I 0.1343 0.7660 0.2204
I 0.6844 0.7923 0.9994
I 0.3221 0.2596 0.4998
I 0.8653 0.2328 0.2203
I 0.8657 0.2340 0.7796
I 0.3156 0.2077 0.0006
I 0.6779 0.7404 0.5002
I 0.1347 0.7672 0.7797
Pa 0.0000 0.0000 0.0000
Na 0.0000 0.0000 0.5000

Values from the calculation:
raw formation energy = -0.803 eV per atom
crystal system = triclinic


Record 5
First-principles (PBE) data for a relaxed structure of MgVAg, as listed in Alexandria via LeMat-Bulk.

Unit cell a=2.9031 b=4.1387 c=8.6972 alpha=85.70 beta=98.94 gamma=90.23
Atoms (fractional coordinates):
Ag 0.1792 0.2227 0.1843
Ag 0.7843 0.6969 0.3746
Mg 0.5803 0.7453 0.0262
Mg 0.3825 0.1741 0.5330
V 0.0775 0.6550 0.7249
V 0.8859 0.2645 0.8341

Values from the calculation:
Fermi-level density of states = 0.456 states/eV per atom
E_form = 142 meV per atom
crystal system = triclinic


Record 6
First-principles (PBE) data for a relaxed structure of Tb5CdRu, as listed in Alexandria via LeMat-Bulk.

Unit cell a=5.9530 b=5.9530 c=11.8672 alpha=77.23 beta=77.23 gamma=77.29
Atoms (fractional coordinates):
Tb 0.9193 0.5861 0.1250
Tb 0.4139 0.0807 0.3750
Tb 0.5861 0.9193 0.6250
Tb 0.5453 0.2061 0.0647
Tb 0.2061 0.5453 0.5647
Tb 0.7939 0.4547 0.4353
Tb 0.0050 0.9950 0.7500
Tb 0.9950 0.0050 0.2500
Tb 0.0807 0.4139 0.8750
Tb 0.4547 0.7939 0.9353
Cd 0.4054 0.5946 0.2500
Cd 0.5946 0.4054 0.7500
Ru 0.0000 0.0000 0.0000
Ru 0.0000 0.0000 0.5000

Values from the calculation:
Fermi-level density of states = 0.950 states/eV per atom
E_form = -130 meV per atom
crystal system = monoclinic


Record 7
First-principles (PBE) data for a relaxed structure of LaReHg2, as listed in Alexandria via LeMat-Bulk.

Unit cell a=5.0592 b=5.0592 c=5.0592 alpha=60.00 beta=60.00 gamma=60.00
Atoms (fractional coordinates):
Hg 0.7500 0.7500 0.7500
Hg 0.2500 0.2500 0.2500
La 0.0000 0.0000 0.0000
Re 0.5000 0.5000 0.5000

Values from the calculation:
Fermi-level density of states = 1.099 states/eV per atom
E_form = 499 meV per atom
crystal system = cubic


Record 8
First-principles (PBE) data for a relaxed structure of Mg2Ni2Bi, as listed in Alexandria via LeMat-Bulk.

Unit cell a=7.7024 b=7.7024 c=3.0019 alpha=90.00 beta=90.00 gamma=90.00
Atoms (fractional coordinates):
Bi 0.5000 0.5000 0.0000
Bi 0.0000 0.0000 0.0000
Mg 0.6297 0.1297 0.0000
Mg 0.1297 0.3703 0.0000
Mg 0.8703 0.6297 0.0000
Mg 0.3703 0.8703 0.0000
Ni 0.3388 0.1612 0.5000
Ni 0.8388 0.3388 0.5000
Ni 0.1612 0.6612 0.5000
Ni 0.6612 0.8388 0.5000

Values from the calculation:
Fermi-level density of states = 0.496 states/eV per atom
E_form = 87 meV per atom
crystal system = tetragonal


Record 9
First-principles (PBE) data for a relaxed structure of MgTlRu4, as listed in Alexandria via LeMat-Bulk.

Unit cell a=5.2211 b=5.2211 c=5.2211 alpha=60.00 beta=60.00 gamma=60.00
Site moments in Bohr magnetons follow the coordinates.
Atoms (fractional coordinates):
Tl 0.7500 0.7500 0.7500  -0.02
Ru 0.3749 0.3749 0.3749  0.57
Ru 0.3749 0.3749 0.8752  0.57
Ru 0.3749 0.8752 0.3749  0.57
Ru 0.8752 0.3749 0.3749  0.57
Mg 0.0000 0.0000 0.0000  -0.01

Values from the calculation:
Fermi-level density of states = 1.181 states/eV per atom
E_form = 423 meV per atom
crystal system = cubic


Record 10
First-principles (PBE) data for a relaxed structure of CsCrCu2I6, as listed in Alexandria via LeMat-Bulk.

Unit cell a=7.6360 b=10.8149 c=10.8149 alpha=86.19 beta=75.09 gamma=75.09
Site moments in Bohr magnetons follow the coordinates.
Atoms (fractional coordinates):
Cs 0.2500 0.8803 0.1197  0.00
Cs 0.7500 0.1197 0.8803  0.00
I 0.0826 0.1771 0.3558  -0.04
I 0.9467 0.4228 0.7046  -0.06
I 0.5533 0.2954 0.5772  -0.06
I 0.3052 0.0107 0.7255  -0.04
I 0.9174 0.8229 0.6442  -0.04
I 0.8052 0.7255 0.0107  -0.04
I 0.6948 0.9893 0.2745  -0.04
I 0.0533 0.5772 0.2954  -0.06
I 0.5826 0.3558 0.1771  -0.04
I 0.1948 0.2745 0.9893  -0.04
I 0.4467 0.7046 0.4228  -0.06
I 0.4174 0.6442 0.8229  -0.04
Cu 0.7583 0.6600 0.7781  -0.12
Cu 0.2417 0.3400 0.2219  -0.12
Cu 0.7417 0.2219 0.3400  -0.12
Cu 0.2583 0.7781 0.6600  -0.12
Cr 0.2500 0.2620 0.7380  3.25
Cr 0.7500 0.7380 0.2620  3.25

Values from the calculation:
raw formation energy = -0.423 eV per atom
Fermi-level density of states = 0.493 states/eV per atom
crystal system = monoclinic


Record 11
First-principles (PBE) data for a relaxed structure of HfHg3Au, as listed in Alexandria via LeMat-Bulk.

Unit cell a=5.5572 b=5.5572 c=5.5572 alpha=90.00 beta=90.00 gamma=90.00
Atoms (fractional coordinates):
Hg 0.0000 0.5000 0.0000
Hg 0.0000 0.0000 0.5000
Hg 0.5000 0.0000 0.0000
Au 0.5000 0.5000 0.5000
Hf 0.0000 0.0000 0.0000

Values from the calculation:
Fermi-level density of states = 0.858 states/eV per atom
E_form = 799 meV per atom
crystal system = cubic


Record 12
First-principles (PBE) data for a relaxed structure of CaPaSe3, as listed in Alexandria via LeMat-Bulk.

Unit cell a=4.1256 b=7.8669 c=16.1775 alpha=90.00 beta=90.00 gamma=90.00
Site moments in Bohr magnetons follow the coordinates.
Atoms (fractional coordinates):
Pa 0.2500 0.2559 0.9594  0.95
Pa 0.2500 0.7559 0.5406  0.95
Pa 0.7500 0.7441 0.0406  0.95
Pa 0.7500 0.2441 0.4594  0.95
Se 0.7500 0.1237 0.0669  -0.03
Se 0.7500 0.9887 0.5942  -0.04
Se 0.7500 0.8181 0.2152  -0.02
Se 0.2500 0.0113 0.4058  -0.04
Se 0.7500 0.4887 0.9058  -0.04
Se 0.2500 0.8763 0.9331  -0.03
Se 0.7500 0.6237 0.4331  -0.03
Se 0.2500 0.3763 0.5669  -0.03
Se 0.2500 0.6819 0.7153  -0.02
Se 0.2500 0.5113 0.0942  -0.04
Se 0.7500 0.3181 0.2848  -0.02
Se 0.2500 0.1819 0.7847  -0.02
Ca 0.2500 0.0941 0.2170  0.00
Ca 0.7500 0.9059 0.7830  0.00
Ca 0.7500 0.4059 0.7170  0.00
Ca 0.2500 0.5941 0.2830  0.00

Values from the calculation:
raw formation energy = -1.608 eV per atom
Fermi-level density of states = 0.725 states/eV per atom
crystal system = orthorhombic


Record 13
First-principles (PBE) data for a relaxed structure of FeGe3N, as listed in Alexandria via LeMat-Bulk.

Unit cell a=4.4078 b=4.4078 c=4.4078 alpha=90.00 beta=90.00 gamma=90.00
Site moments in Bohr magnetons follow the coordinates.
Atoms (fractional coordinates):
Ge 0.5000 0.0000 0.0000  -0.01
Ge 0.0000 0.5000 0.0000  0.01
Ge 0.0000 0.0000 0.5000  -0.02
N 0.5000 0.5000 0.5000  0.86
Fe 0.0000 0.0000 0.0000  -0.16

Values from the calculation:
raw formation energy = 0.912 eV per atom
Fermi-level density of states = 0.729 states/eV per atom
crystal system = cubic


Record 14
First-principles (PBE) data for a relaxed structure of CuPt, as listed in Alexandria via LeMat-Bulk.

Unit cell a=2.7563 b=4.5904 c=4.4821 alpha=90.00 beta=90.00 gamma=90.00
Atoms (fractional coordinates):
Cu 0.0000 0.0000 0.9730
Cu 0.5000 0.5000 0.8603
Pt 0.0000 0.5000 0.3611
Pt 0.5000 0.0000 0.4722

Values from the calculation:
Fermi-level density of states = 0.693 states/eV per atom
E_form = -111 meV per atom
crystal system = orthorhombic


Record 15
First-principles (PBE) data for a relaxed structure of Sc2TcSb, as listed in Alexandria via LeMat-Bulk.

Unit cell a=9.9020 b=9.9020 c=9.9020 alpha=19.14 beta=19.14 gamma=19.14
Atoms (fractional coordinates):
Tc 0.5000 0.5000 0.5000
Sc 0.1011 0.1011 0.1011
Sc 0.8989 0.8989 0.8989
Sb 0.0000 0.0000 0.0000

Values from the calculation:
raw formation energy = -0.012 eV per atom
Fermi-level density of states = 0.517 states/eV per atom
crystal system = trigonal


Record 16
First-principles (PBE) data for a relaxed structure of PmPr4Tm7, as listed in Alexandria via LeMat-Bulk.

Unit cell a=5.8830 b=11.7027 c=6.7415 alpha=83.24 beta=64.13 gamma=75.44
Atoms (fractional coordinates):
Pr 0.2198 0.3363 0.2240
Pr 0.6360 0.2226 0.5054
Pr 0.7802 0.6637 0.7760
Pr 0.3640 0.7774 0.4946
Tm 0.5000 0.0000 0.0000
Tm 0.6325 0.5057 0.2293
Tm 0.2108 0.0767 0.5017
Tm 0.7892 0.9233 0.4983
Tm 0.9293 0.3121 0.8292
Tm 0.0707 0.6879 0.1708
Tm 0.3675 0.4943 0.7707
Pm 0.0000 0.0000 0.0000

Values from the calculation:
Fermi-level density of states = 1.590 states/eV per atom
E_form = 256 meV per atom
crystal system = monoclinic


Record 17
First-principles (PBE) data for a relaxed structure of V2P2Ir, as listed in Alexandria via LeMat-Bulk.

Unit cell a=6.5091 b=6.5091 c=3.0880 alpha=90.00 beta=90.00 gamma=90.00
Atoms (fractional coordinates):
V 0.6405 0.8595 0.5000
V 0.3595 0.1405 0.5000
V 0.8595 0.3595 0.5000
V 0.1405 0.6405 0.5000
P 0.6537 0.1537 0.0000
P 0.8463 0.6537 0.0000
P 0.3463 0.8463 0.0000
P 0.1537 0.3463 0.0000
Ir 0.5000 0.5000 0.0000
Ir 0.0000 0.0000 0.0000

Values from the calculation:
Fermi-level density of states = 0.830 states/eV per atom
E_form = -508 meV per atom
crystal system = tetragonal


Record 18
First-principles (PBE) data for a relaxed structure of Mg4SbOs, as listed in Alexandria via LeMat-Bulk.

Unit cell a=5.4518 b=5.4518 c=5.4518 alpha=60.00 beta=60.00 gamma=60.00
Atoms (fractional coordinates):
Mg 0.3760 0.3760 0.3760
Mg 0.8719 0.3760 0.3760
Mg 0.3760 0.3760 0.8719
Mg 0.3760 0.8719 0.3760
Os 0.7500 0.7500 0.7500
Sb 0.0000 0.0000 0.0000

Values from the calculation:
raw formation energy = 0.395 eV per atom
Fermi-level density of states = 0.320 states/eV per atom
crystal system = cubic


Record 19
First-principles (PBE) data for a relaxed structure of La5Tb5Ho2, as listed in Alexandria via LeMat-Bulk.

Unit cell a=5.1471 b=10.8447 c=8.1642 alpha=98.77 beta=71.63 gamma=76.27
Atoms (fractional coordinates):
La 0.9959 0.2528 0.7554
La 0.0041 0.7472 0.2446
La 0.6662 0.2527 0.4148
La 0.3338 0.7473 0.5852
La 0.0000 0.0000 0.0000
Tb 0.0000 0.5000 0.5000
Tb 0.3308 0.2543 0.0841
Tb 0.6692 0.7457 0.9159
Tb 0.3325 0.0002 0.3348
Tb 0.6675 0.9998 0.6652
Ho 0.6678 0.4993 0.1650
Ho 0.3322 0.5007 0.8350

Values from the calculation:
Fermi-level density of states = 1.633 states/eV per atom
E_form = 28 meV per atom
crystal system = monoclinic


Record 20
First-principles (PBE) data for a relaxed structure of Ba2LiHf, as listed in Alexandria via LeMat-Bulk.

Unit cell a=9.1232 b=9.1232 c=7.3403 alpha=51.58 beta=51.58 gamma=90.00
Site moments in Bohr magnetons follow the coordinates.
Atoms (fractional coordinates):
Ba 0.1468 0.6250 0.2500  0.04
Ba 0.3750 0.3968 0.7500  0.04
Ba 0.6032 0.1250 0.2500  0.04
Ba 0.8750 0.8532 0.7500  0.04
Li 0.5000 0.5000 0.0000  0.01
Li 0.2500 0.7500 0.5000  0.01
Hf 0.0000 0.0000 0.0000  0.42
Hf 0.7500 0.2500 0.5000  0.42

Values from the calculation:
Fermi-level density of states = 1.624 states/eV per atom
E_form = 830 meV per atom
crystal system = tetragonal


Number 1: size of the total moment 0.00 μB/atom. Number 2: size of the total moment 0.00 μB/atom. Number 3: size of the total moment 0.02 μB/atom. Number 4: size of the total moment 0.00 μB/atom. Number 5: size of the total moment 0.00 μB/atom. Number 6: size of the total moment 0.00 μB/atom. Number 7: size of the total moment 0.00 μB/atom. Number 8: size of the total moment 0.00 μB/atom. Number 9: size of the total moment 0.38 μB/atom. Number 10: size of the total moment 0.30 μB/atom. Number 11: size of the total moment 0.00 μB/atom. Number 12: size of the total moment 0.20 μB/atom. Number 13: size of the total moment 0.20 μB/atom. Number 14: size of the total moment 0.00 μB/atom. Number 15: size of the total moment 0.00 μB/atom. Number 16: size of the total moment 0.00 μB/atom. Number 17: size of the total moment 0.00 μB/atom. Number 18: size of the total moment 0.00 μB/atom. Number 19: size of the total moment 0.00 μB/atom. Number 20: size of the total moment 0.22 μB/atom.